Cs4KV3F12 | PBE+U | relaxed

The uncorrected energy is -5.22 eV per atom. Its total moment is 0.4000 μB per atom.

a b c (Å): 7.740 7.740 7.740
angles (deg): 109.47 109.47 109.47
Positions (direct):
F (0.250, 0.500, 0.750)
F (0.500, 0.250, 0.750)
F (0.000, 0.721, 0.721)
F (0.750, 0.250, 0.500)
F (0.750, 0.500, 0.250)
F (0.721, 0.721, 0.000)
F (0.000, 0.279, 0.279)
F (0.279, 0.279, 0.000)
F (0.500, 0.750, 0.250)
F (0.279, 0.000, 0.279)
F (0.250, 0.750, 0.500)
F (0.721, 0.000, 0.721)
Cs (0.000, 0.000, 0.500)
Cs (0.500, 0.000, 0.000)
Cs (0.500, 0.500, 0.500)
Cs (0.000, 0.500, 0.000)
V (0.000, 0.500, 0.500)
V (0.500, 0.000, 0.500)
V (0.500, 0.500, 0.000)
K (0.000, 0.000, 0.000)